Version a
# AlReIN2 | the Alexandria database | PBE | relaxed
# * size of the total moment: 0.24 Bohr magnetons per cell
# * DOS at the Fermi energy: 0.54 states/eV per atom
data_AlReIN2
_chemical_formula_sum 'Al1 Re1 I1 N2'
_space_group_name_H-M_alt 'P 1'
_space_group_IT_number 1
_cell_length_a 3.9585
_cell_length_b 3.9585
_cell_length_c 5.7241
_cell_angle_alpha 90.00
_cell_angle_beta 90.00
_cell_angle_gamma 90.00
loop_
_space_group_symop_operation_xyz
'x,y,z'
loop_
_atom_site_label
_atom_site_fract_x
_atom_site_fract_y
_atom_site_fract_z
Al1 0.0000 0.0000 0.0000
Re1 0.5000 0.5000 0.5000
I1 0.5000 0.5000 0.0000
N1 0.0000 0.5000 0.5000
N2 0.5000 0.0000 0.5000


Version b
# AlReIN2 | the Alexandria database | PBE | relaxed
# * size of the total moment: 4.24 Bohr magnetons per cell
# * DOS at the Fermi energy: 0.72 states/eV per atom
data_AlReIN2
_chemical_formula_sum 'Al1 Re1 I1 N2'
_space_group_name_H-M_alt 'P 1'
_space_group_IT_number 1
_cell_length_a 3.8124
_cell_length_b 3.8124
_cell_length_c 6.1863
_cell_angle_alpha 90.00
_cell_angle_beta 90.00
_cell_angle_gamma 90.00
loop_
_space_group_symop_operation_xyz
'x,y,z'
loop_
_atom_site_label
_atom_site_fract_x
_atom_site_fract_y
_atom_site_fract_z
Al1 0.0000 0.0000 0.0000
Re1 0.5000 0.5000 0.5000
I1 0.0000 0.0000 0.5000
N1 0.0000 0.5000 0.0000
N2 0.5000 0.0000 0.0000


Version c
# AlReIN2 | the Alexandria database | PBE | relaxed
# * size of the total moment: 0.00 Bohr magnetons per cell
# * DOS at the Fermi energy: 0.43 states/eV per atom
data_AlReIN2
_chemical_formula_sum 'Al1 Re1 I1 N2'
_space_group_name_H-M_alt 'P 1'
_space_group_IT_number 1
_cell_length_a 3.8925
_cell_length_b 3.8925
_cell_length_c 5.6488
_cell_angle_alpha 90.00
_cell_angle_beta 90.00
_cell_angle_gamma 90.00
loop_
_space_group_symop_operation_xyz
'x,y,z'
loop_
_atom_site_label
_atom_site_fract_x
_atom_site_fract_y
_atom_site_fract_z
Al1 0.0000 0.0000 0.0000
Re1 0.0000 0.0000 0.5000
I1 0.5000 0.5000 0.0000
N1 0.0000 0.5000 0.5000
N2 0.5000 0.0000 0.5000


Energetically preferred structure: version c | next structure: +296 meV/atom


Version a
# AlRuIN2 | the Alexandria database | PBE | relaxed
# * size of the total moment: 2.42 Bohr magnetons per cell
# * DOS at the Fermi energy: 0.61 states/eV per atom
data_AlRuIN2
_chemical_formula_sum 'Al1 Ru1 I1 N2'
_space_group_name_H-M_alt 'P 1'
_space_group_IT_number 1
_cell_length_a 4.0251
_cell_length_b 4.0251
_cell_length_c 5.1761
_cell_angle_alpha 90.00
_cell_angle_beta 90.00
_cell_angle_gamma 90.00
loop_
_space_group_symop_operation_xyz
'x,y,z'
loop_
_atom_site_label
_atom_site_fract_x
_atom_site_fract_y
_atom_site_fract_z
Al1 0.0000 0.0000 0.0000
Ru1 0.5000 0.5000 0.0000
I1 0.5000 0.5000 0.5000
N1 0.0000 0.5000 0.5000
N2 0.5000 0.0000 0.5000


Version b
# AlRuIN2 | the Alexandria database | PBE | relaxed
# * size of the total moment: 0.44 Bohr magnetons per cell
# * DOS at the Fermi energy: 0.54 states/eV per atom
data_AlRuIN2
_chemical_formula_sum 'Al1 Ru1 I1 N2'
_space_group_name_H-M_alt 'P 1'
_space_group_IT_number 1
_cell_length_a 3.9299
_cell_length_b 3.9299
_cell_length_c 5.7361
_cell_angle_alpha 90.00
_cell_angle_beta 90.00
_cell_angle_gamma 90.00
loop_
_space_group_symop_operation_xyz
'x,y,z'
loop_
_atom_site_label
_atom_site_fract_x
_atom_site_fract_y
_atom_site_fract_z
Al1 0.0000 0.0000 0.0000
Ru1 0.5000 0.5000 0.5000
I1 0.5000 0.5000 0.0000
N1 0.0000 0.5000 0.5000
N2 0.5000 0.0000 0.5000


Energetically preferred structure: version b | next structure: +1016 meV/atom


Version a
# AlRuI2N | the Alexandria database | PBE | relaxed
# * size of the total moment: 3.39 Bohr magnetons per cell
# * DOS at the Fermi energy: 1.25 states/eV per atom
data_AlRuI2N
_chemical_formula_sum 'Al1 Ru1 I2 N1'
_space_group_name_H-M_alt 'P 1'
_space_group_IT_number 1
_cell_length_a 5.7083
_cell_length_b 5.7083
_cell_length_c 3.5102
_cell_angle_alpha 90.00
_cell_angle_beta 90.00
_cell_angle_gamma 90.00
loop_
_space_group_symop_operation_xyz
'x,y,z'
loop_
_atom_site_label
_atom_site_fract_x
_atom_site_fract_y
_atom_site_fract_z
Al1 0.0000 0.0000 0.0000
Ru1 0.5000 0.5000 0.5000
I1 0.0000 0.5000 0.0000
I2 0.5000 0.0000 0.0000
N1 0.0000 0.0000 0.5000


Version b
# AlRuI2N | the Alexandria database | PBE | relaxed
# * size of the total moment: 0.00 Bohr magnetons per cell
# * DOS at the Fermi energy: 0.33 states/eV per atom
data_AlRuI2N
_chemical_formula_sum 'Al1 Ru1 I2 N1'
_space_group_name_H-M_alt 'P 1'
_space_group_IT_number 1
_cell_length_a 5.6455
_cell_length_b 5.6455
_cell_length_c 3.7408
_cell_angle_alpha 90.00
_cell_angle_beta 90.00
_cell_angle_gamma 90.00
loop_
_space_group_symop_operation_xyz
'x,y,z'
loop_
_atom_site_label
_atom_site_fract_x
_atom_site_fract_y
_atom_site_fract_z
Al1 0.0000 0.0000 0.0000
Ru1 0.5000 0.5000 0.5000
I1 0.0000 0.5000 0.5000
I2 0.5000 0.0000 0.5000
N1 0.5000 0.5000 0.0000


Energetically preferred structure: version b | next structure: +437 meV/atom


Version a
# AlS2IN | the Alexandria database | PBE | relaxed
# * size of the total moment: 0.00 Bohr magnetons per cell
# * DOS at the Fermi energy: 0.73 states/eV per atom
data_AlS2IN
_chemical_formula_sum 'Al1 S2 I1 N1'
_space_group_name_H-M_alt 'P 1'
_space_group_IT_number 1
_cell_length_a 4.9676
_cell_length_b 4.9676
_cell_length_c 3.6255
_cell_angle_alpha 90.00
_cell_angle_beta 90.00
_cell_angle_gamma 90.00
loop_
_space_group_symop_operation_xyz
'x,y,z'
loop_
_atom_site_label
_atom_site_fract_x
_atom_site_fract_y
_atom_site_fract_z
Al1 0.0000 0.0000 0.0000
S1 0.0000 0.5000 0.0000
S2 0.5000 0.0000 0.0000
I1 0.5000 0.5000 0.5000
N1 0.0000 0.0000 0.5000


Version b
# AlS2IN | the Alexandria database | PBE | relaxed
# * size of the total moment: 0.00 Bohr magnetons per cell
# * DOS at the Fermi energy: 0.74 states/eV per atom
data_AlS2IN
_chemical_formula_sum 'Al1 S2 I1 N1'
_space_group_name_H-M_alt 'P 1'
_space_group_IT_number 1
_cell_length_a 5.2234
_cell_length_b 5.2234
_cell_length_c 3.9331
_cell_angle_alpha 90.00
_cell_angle_beta 90.00
_cell_angle_gamma 90.00
loop_
_space_group_symop_operation_xyz
'x,y,z'
loop_
_atom_site_label
_atom_site_fract_x
_atom_site_fract_y
_atom_site_fract_z
Al1 0.0000 0.0000 0.0000
S1 0.0000 0.5000 0.5000
S2 0.5000 0.0000 0.5000
I1 0.5000 0.5000 0.5000
N1 0.5000 0.5000 0.0000


Energetically preferred structure: version a | next structure: +748 meV/atom


Version a
# ScAlIN2 | the Alexandria database | PBE | relaxed
# * size of the total moment: 0.27 Bohr magnetons per cell
# * DOS at the Fermi energy: 0.53 states/eV per atom
data_ScAlIN2
_chemical_formula_sum 'Sc1 Al1 I1 N2'
_space_group_name_H-M_alt 'P 1'
_space_group_IT_number 1
_cell_length_a 3.9142
_cell_length_b 3.9142
_cell_length_c 5.4089
_cell_angle_alpha 90.00
_cell_angle_beta 90.00
_cell_angle_gamma 90.00
loop_
_space_group_symop_operation_xyz
'x,y,z'
loop_
_atom_site_label
_atom_site_fract_x
_atom_site_fract_y
_atom_site_fract_z
Sc1 0.0000 0.0000 0.0000
Al1 0.5000 0.5000 0.5000
I1 0.5000 0.5000 0.0000
N1 0.0000 0.5000 0.5000
N2 0.5000 0.0000 0.5000


Version b
# ScAlIN2 | the Alexandria database | PBE | relaxed
# * size of the total moment: 0.23 Bohr magnetons per cell
# * DOS at the Fermi energy: 0.79 states/eV per atom
data_ScAlIN2
_chemical_formula_sum 'Sc1 Al1 I1 N2'
_space_group_name_H-M_alt 'P 1'
_space_group_IT_number 1
_cell_length_a 4.1724
_cell_length_b 4.1724
_cell_length_c 6.0107
_cell_angle_alpha 90.00
_cell_angle_beta 90.00
_cell_angle_gamma 90.00
loop_
_space_group_symop_operation_xyz
'x,y,z'
loop_
_atom_site_label
_atom_site_fract_x
_atom_site_fract_y
_atom_site_fract_z
Sc1 0.0000 0.0000 0.0000
Al1 0.5000 0.5000 0.5000
I1 0.0000 0.0000 0.5000
N1 0.0000 0.5000 0.0000
N2 0.5000 0.0000 0.0000


Energetically preferred structure: version a | next structure: +238 meV/atom


Version a
# AlSeI2N | the Alexandria database | PBE | relaxed
# * size of the total moment: 0.00 Bohr magnetons per cell
# * DOS at the Fermi energy: 1.26 states/eV per atom
data_AlSeI2N
_chemical_formula_sum 'Al1 Se1 I2 N1'
_space_group_name_H-M_alt 'P 1'
_space_group_IT_number 1
_cell_length_a 5.8117
_cell_length_b 5.8117
_cell_length_c 3.5222
_cell_angle_alpha 90.00
_cell_angle_beta 90.00
_cell_angle_gamma 90.00
loop_
_space_group_symop_operation_xyz
'x,y,z'
loop_
_atom_site_label
_atom_site_fract_x
_atom_site_fract_y
_atom_site_fract_z
Al1 0.0000 0.0000 0.0000
Se1 0.5000 0.5000 0.5000
I1 0.0000 0.5000 0.0000
I2 0.5000 0.0000 0.0000
N1 0.0000 0.0000 0.5000


Version b
# AlSeI2N | the Alexandria database | PBE | relaxed
# * size of the total moment: 0.00 Bohr magnetons per cell
# * DOS at the Fermi energy: 0.36 states/eV per atom
data_AlSeI2N
_chemical_formula_sum 'Al1 Se1 I2 N1'
_space_group_name_H-M_alt 'P 1'
_space_group_IT_number 1
_cell_length_a 6.1851
_cell_length_b 6.1851
_cell_length_c 3.7160
_cell_angle_alpha 90.00
_cell_angle_beta 90.00
_cell_angle_gamma 90.00
loop_
_space_group_symop_operation_xyz
'x,y,z'
loop_
_atom_site_label
_atom_site_fract_x
_atom_site_fract_y
_atom_site_fract_z
Al1 0.0000 0.0000 0.0000
Se1 0.5000 0.5000 0.5000
I1 0.0000 0.5000 0.5000
I2 0.5000 0.0000 0.5000
N1 0.5000 0.5000 0.0000


Energetically preferred structure: version a | next structure: +316 meV/atom


Version a
# AlSe2IN | the Alexandria database | PBE | relaxed
# * size of the total moment: 0.00 Bohr magnetons per cell
# * DOS at the Fermi energy: 1.00 states/eV per atom
data_AlSe2IN
_chemical_formula_sum 'Al1 Se2 I1 N1'
_space_group_name_H-M_alt 'P 1'
_space_group_IT_number 1
_cell_length_a 5.5106
_cell_length_b 5.5106
_cell_length_c 3.9537
_cell_angle_alpha 90.00
_cell_angle_beta 90.00
_cell_angle_gamma 90.00
loop_
_space_group_symop_operation_xyz
'x,y,z'
loop_
_atom_site_label
_atom_site_fract_x
_atom_site_fract_y
_atom_site_fract_z
Al1 0.0000 0.0000 0.0000
Se1 0.0000 0.5000 0.5000
Se2 0.5000 0.0000 0.5000
I1 0.5000 0.5000 0.5000
N1 0.5000 0.5000 0.0000


Version b
# AlSe2IN | the Alexandria database | PBE | relaxed
# * size of the total moment: 0.00 Bohr magnetons per cell
# * DOS at the Fermi energy: 0.88 states/eV per atom
data_AlSe2IN
_chemical_formula_sum 'Al1 Se2 I1 N1'
_space_group_name_H-M_alt 'P 1'
_space_group_IT_number 1
_cell_length_a 5.2760
_cell_length_b 5.2760
_cell_length_c 3.6197
_cell_angle_alpha 90.00
_cell_angle_beta 90.00
_cell_angle_gamma 90.00
loop_
_space_group_symop_operation_xyz
'x,y,z'
loop_
_atom_site_label
_atom_site_fract_x
_atom_site_fract_y
_atom_site_fract_z
Al1 0.0000 0.0000 0.0000
Se1 0.0000 0.5000 0.0000
Se2 0.5000 0.0000 0.0000
I1 0.5000 0.5000 0.5000
N1 0.0000 0.0000 0.5000


Energetically preferred structure: version b | next structure: +778 meV/atom